(1)
{"formula": "Na2Pm2US6", "functional": "PBE-GGA", "state": "optimized geometry", "lattice": [[-3.5207, -5.9389, 1.4420], [7.0281, -0.1555, -0.5724], [-0.5914, 3.2651, 6.2775]], "species": ["S", "S", "S", "S", "S", "S", "Pm", "Pm", "Na", "Na", "U"], "frac_coords": [[0.2418, 0.2418, 0.2778], [0.9310, 0.6047, 0.2771], [0.7582, 0.7582, 0.7222], [0.3953, 0.0690, 0.7229], [0.6047, 0.9310, 0.2771], [0.0690, 0.3953, 0.7229], [0.6657, 0.3343, 0.5000], [0.3343, 0.6657, 0.5000], [0.8309, 0.1691, 0.0000], [0.1691, 0.8309, 0.0000], [0.0000, 0.0000, 0.5000]], "crystal_system": "monoclinic", "final_energy_ev_per_atom": -6.048, "n_ef_per_ev_atom": 0.57, "raw_formation_energy_mev_per_atom": -1666.7}

---

(2)
{"formula": "Na3Pm3US8", "functional": "PBE-GGA", "state": "optimized geometry", "lattice": [[-3.2686, 0.3154, -7.4877], [7.2423, -3.6146, 1.1502], [-6.8378, -3.5464, 2.8355]], "species": ["Pm", "Pm", "Pm", "Na", "Na", "Na", "S", "S", "S", "S", "S", "S", "S", "S", "U"], "frac_coords": [[0.0000, 0.5000, 0.5000], [0.5000, 0.5000, 0.5000], [0.5000, 0.0000, 0.5000], [0.0000, 0.5000, 0.0000], [0.0000, 0.0000, 0.0000], [0.5000, 0.5000, 0.0000], [0.2336, 0.9876, 0.7210], [0.7540, 0.9876, 0.7210], [0.2460, 0.0124, 0.2790], [0.2558, 0.5117, 0.2677], [0.2336, 0.4671, 0.7210], [0.7664, 0.5329, 0.2790], [0.7442, 0.4883, 0.7323], [0.7664, 0.0124, 0.2790], [0.0000, 0.0000, 0.5000]], "crystal_system": "trigonal", "final_energy_ev_per_atom": -5.879, "n_ef_per_ev_atom": 0.39, "raw_formation_energy_mev_per_atom": -1710.8}

---

(3)
{"formula": "NaPm2US6", "functional": "PBE-GGA", "state": "optimized geometry", "lattice": [[7.0458, 0.0000, 0.0003], [3.5229, 6.1021, 0.0002], [3.5227, 2.0343, 6.2421]], "species": ["S", "S", "S", "S", "S", "S", "Pm", "Pm", "Na", "U"], "frac_coords": [[0.7052, 0.1353, 0.7584], [0.5858, 0.2179, 0.2477], [0.9487, 0.5858, 0.2477], [0.1353, 0.4011, 0.7584], [0.4011, 0.7052, 0.7584], [0.2178, 0.9487, 0.2477], [0.5245, 0.5245, 0.4265], [0.0123, 0.0122, 0.9632], [0.8069, 0.8069, 0.5795], [0.3241, 0.3241, 0.0276]], "crystal_system": "trigonal", "final_energy_ev_per_atom": -6.337, "raw_formation_energy_mev_per_atom": -1649.9}